*one*
{"formula": "Sm3Y4Er2", "functional": "PBE", "state": "relaxed", "lattice_angstrom": [[-7.690, 1.985, 0.962], [5.039, -3.998, -4.758], [2.085, -1.267, 12.649]], "species": ["Y", "Y", "Y", "Y", "Sm", "Sm", "Sm", "Er", "Er"], "frac_coords": [[0.887, 0.777, 0.666], [0.333, 0.667, 0.000], [0.113, 0.223, 0.334], [0.667, 0.333, 0.000], [0.446, 0.892, 0.334], [0.000, 0.000, 0.000], [0.554, 0.108, 0.666], [0.222, 0.443, 0.666], [0.778, 0.557, 0.334]], "m_tot_mub_per_fu": 0.000, "dos_ef_per_ev_cell": 12.6, "space_group": "No. 12"}


*two*
{"formula": "Sm3Y4Er2", "functional": "PBE", "state": "relaxed", "lattice_angstrom": [[-1.148, 3.201, 5.056], [-5.269, -5.404, 8.404], [5.985, -2.640, 9.209]], "species": ["Er", "Er", "Er", "Er", "Y", "Y", "Y", "Y", "Y", "Y", "Y", "Y", "Sm", "Sm", "Sm", "Sm", "Sm", "Sm"], "frac_coords": [[0.085, 0.479, 0.756], [0.915, 0.521, 0.244], [0.585, 0.756, 0.479], [0.415, 0.244, 0.521], [0.080, 0.814, 0.090], [0.074, 0.153, 0.422], [0.426, 0.578, 0.847], [0.420, 0.910, 0.186], [0.580, 0.090, 0.814], [0.926, 0.847, 0.578], [0.920, 0.186, 0.910], [0.574, 0.422, 0.153], [0.250, 0.598, 0.402], [0.746, 0.065, 0.269], [0.254, 0.935, 0.731], [0.246, 0.269, 0.065], [0.754, 0.731, 0.935], [0.750, 0.402, 0.598]], "m_tot_mub_per_fu": 0.000, "dos_ef_per_ev_cell": 27.0, "space_group": "No. 15"}


Which one sits at the top of the stability order? *one* does.


*one*
{"formula": "Sm7YEr4", "functional": "PBE", "state": "relaxed", "lattice_angstrom": [[6.932, 1.864, 0.880], [5.166, 7.667, 2.447], [-1.008, -0.419, 8.839]], "species": ["Sm", "Sm", "Sm", "Sm", "Sm", "Sm", "Sm", "Y", "Er", "Er", "Er", "Er"], "frac_coords": [[0.029, 0.720, 0.336], [0.500, 0.000, 0.000], [0.753, 0.501, 0.001], [0.971, 0.280, 0.664], [0.247, 0.499, 0.999], [0.778, 0.222, 0.335], [0.222, 0.778, 0.665], [0.000, 0.000, 0.000], [0.470, 0.278, 0.666], [0.530, 0.722, 0.334], [0.280, 0.220, 0.335], [0.720, 0.780, 0.665]], "m_tot_mub_per_fu": 0.000, "dos_ef_per_ev_cell": 16.2, "space_group": "No. 2"}


*two*
{"formula": "Sm7YEr4", "functional": "PBE", "state": "relaxed", "lattice_angstrom": [[5.959, 0.000, 0.000], [2.980, 11.210, -0.336], [2.980, 0.168, 6.017]], "species": ["Er", "Er", "Er", "Er", "Y", "Sm", "Sm", "Sm", "Sm", "Sm", "Sm", "Sm"], "frac_coords": [[0.640, 0.224, 0.497], [0.753, 0.682, 0.812], [0.247, 0.318, 0.188], [0.360, 0.776, 0.503], [0.000, 0.000, 0.000], [0.632, 0.498, 0.239], [0.940, 0.322, 0.798], [0.212, 0.079, 0.497], [0.060, 0.678, 0.202], [0.788, 0.921, 0.503], [0.500, 0.000, 0.000], [0.368, 0.502, 0.761]], "m_tot_mub_per_fu": 0.000, "dos_ef_per_ev_cell": 17.8, "space_group": "No. 12"}


Which one sits at the top of the stability order? *one* does.


*one*
{"formula": "SmY7Er3", "functional": "PBE", "state": "relaxed", "lattice_angstrom": [[-0.175, -4.562, -7.606], [-3.182, -6.400, 6.922], [-3.599, 3.796, 1.856]], "species": ["Y", "Y", "Y", "Y", "Y", "Y", "Y", "Er", "Er", "Er", "Sm"], "frac_coords": [[0.648, 0.289, 0.148], [0.500, 0.000, 0.500], [0.076, 0.169, 0.076], [0.822, 0.640, 0.323], [0.924, 0.831, 0.924], [0.352, 0.711, 0.852], [0.178, 0.360, 0.677], [0.000, 0.500, 0.000], [0.777, 0.997, 0.276], [0.223, 0.003, 0.724], [0.500, 0.500, 0.500]], "m_tot_mub_per_fu": 0.000, "dos_ef_per_ev_cell": 19.1, "space_group": "No. 10"}


*two*
{"formula": "SmY7Er3", "functional": "PBE", "state": "relaxed", "lattice_angstrom": [[-6.340, -4.968, -2.979], [-0.171, -3.478, 6.166], [-4.049, 5.732, -0.945]], "species": ["Er", "Er", "Er", "Y", "Y", "Y", "Y", "Y", "Y", "Y", "Sm"], "frac_coords": [[0.784, 0.500, 0.000], [0.784, 0.000, 0.500], [0.784, 0.500, 0.500], [0.115, 0.168, 0.832], [0.115, 0.168, 0.336], [0.117, 0.667, 0.333], [0.451, 0.832, 0.664], [0.451, 0.832, 0.168], [0.451, 0.336, 0.168], [0.115, 0.664, 0.832], [0.448, 0.333, 0.667]], "m_tot_mub_per_fu": 0.000, "dos_ef_per_ev_cell": 18.7, "space_group": "No. 156"}


Which one sits at the top of the stability order? *one* does.


*one*
{"formula": "SmY7Er2", "functional": "PBE", "state": "relaxed", "lattice_angstrom": [[3.519, -0.021, -0.013], [-0.022, 10.389, -11.056], [-0.022, -5.127, 14.278]], "species": ["Er", "Er", "Y", "Y", "Y", "Y", "Y", "Y", "Y", "Sm"], "frac_coords": [[0.500, 0.192, 0.808], [0.500, 0.808, 0.192], [0.773, 0.846, 0.644], [0.227, 0.154, 0.356], [0.500, 0.500, 0.500], [0.773, 0.644, 0.846], [0.000, 0.292, 0.708], [0.000, 0.708, 0.292], [0.227, 0.356, 0.154], [0.000, 0.000, 0.000]], "m_tot_mub_per_fu": 0.468, "dos_ef_per_ev_cell": 17.0, "space_group": "No. 12"}


*two*
{"formula": "SmY7Er2", "functional": "PBE", "state": "relaxed", "lattice_angstrom": [[-2.478, 4.386, 2.580], [-8.047, -4.157, -0.661], [5.417, -1.172, 7.194]], "species": ["Y", "Y", "Y", "Y", "Y", "Y", "Y", "Sm", "Er", "Er"], "frac_coords": [[0.000, 0.777, 0.223], [0.000, 0.223, 0.777], [0.500, 0.706, 0.939], [0.500, 0.500, 0.500], [0.500, 0.061, 0.294], [0.500, 0.939, 0.706], [0.500, 0.294, 0.061], [0.000, 0.000, 0.000], [0.500, 0.703, 0.297], [0.500, 0.297, 0.703]], "m_tot_mub_per_fu": 0.004, "dos_ef_per_ev_cell": 14.4, "space_group": "No. 65"}


Which one sits at the top of the stability order? *one* does.


*one*
{"formula": "Sm4Y8Er3", "functional": "PBE", "state": "relaxed", "lattice_angstrom": [[6.761, -0.108, -0.156], [-3.230, 8.649, 1.184], [-3.230, -1.892, 8.522]], "species": ["Er", "Er", "Er", "Y", "Y", "Y", "Y", "Y", "Y", "Y", "Y", "Sm", "Sm", "Sm", "Sm"], "frac_coords": [[0.500, 0.500, 0.000], [0.500, 0.000, 0.500], [0.500, 0.500, 0.500], [0.518, 0.265, 0.265], [0.482, 0.735, 0.735], [0.000, 0.641, 0.359], [0.998, 0.730, 0.730], [0.500, 0.747, 0.253], [0.500, 0.253, 0.747], [0.002, 0.270, 0.270], [0.000, 0.359, 0.641], [0.000, 0.500, 0.000], [0.000, 0.000, 0.000], [0.000, 0.000, 0.500], [0.500, 0.000, 0.000]], "m_tot_mub_per_fu": 0.828, "dos_ef_per_ev_cell": 30.3, "space_group": "No. 12"}


*two*
{"formula": "Sm4Y8Er3", "functional": "PBE", "state": "relaxed", "lattice_angstrom": [[-5.310, 2.785, -3.559], [-6.502, -0.516, 2.466], [-2.528, 10.905, 5.473]], "species": ["Er", "Er", "Er", "Y", "Y", "Y", "Y", "Y", "Y", "Y", "Y", "Sm", "Sm", "Sm", "Sm"], "frac_coords": [[0.000, 0.500, 0.500], [0.000, 0.000, 0.500], [0.500, 0.000, 0.500], [0.752, 0.250, 0.748], [0.248, 0.750, 0.252], [0.750, 0.248, 0.252], [0.755, 0.755, 0.735], [0.245, 0.245, 0.265], [0.750, 0.750, 0.252], [0.250, 0.752, 0.748], [0.250, 0.250, 0.748], [0.500, 0.500, 0.500], [0.000, 0.000, 0.000], [0.664, 0.664, 0.009], [0.336, 0.336, 0.991]], "m_tot_mub_per_fu": 0.000, "dos_ef_per_ev_cell": 23.5, "space_group": "No. 166"}


Which one sits at the top of the stability order? *two* does.


*one*
{"formula": "Sm4YEr2", "functional": "PBE", "state": "relaxed", "lattice_angstrom": [[11.992, -3.065, -1.547], [-9.384, 8.072, -1.547], [0.016, 0.032, 6.760]], "species": ["Sm", "Sm", "Sm", "Sm", "Sm", "Sm", "Sm", "Sm", "Y", "Y", "Er", "Er", "Er", "Er"], "frac_coords": [[0.175, 0.712, 0.362], [0.601, 0.563, 0.639], [0.151, 0.042, 0.107], [0.712, 0.175, 0.862], [0.042, 0.151, 0.607], [0.563, 0.601, 0.139], [0.185, 0.794, 0.894], [0.794, 0.185, 0.394], [0.425, 0.675, 0.500], [0.675, 0.425, 0.000], [0.101, 0.920, 0.551], [0.619, 0.300, 0.449], [0.300, 0.619, 0.949], [0.920, 0.101, 0.051]], "m_tot_mub_per_fu": 0.000, "dos_ef_per_ev_cell": 19.8, "space_group": "No. 43"}


*two*
{"formula": "Sm4YEr2", "functional": "PBE", "state": "relaxed", "lattice_angstrom": [[-4.209, 4.544, -0.748], [-3.969, -2.963, 4.338], [6.747, 3.601, 8.633]], "species": ["Sm", "Sm", "Sm", "Sm", "Sm", "Sm", "Sm", "Sm", "Y", "Y", "Er", "Er", "Er", "Er"], "frac_coords": [[0.651, 0.991, 0.286], [0.852, 0.250, 0.549], [0.651, 0.509, 0.286], [0.958, 0.250, 0.137], [0.148, 0.750, 0.451], [0.349, 0.491, 0.714], [0.349, 0.009, 0.714], [0.042, 0.750, 0.863], [0.154, 0.750, 0.164], [0.846, 0.250, 0.836], [0.610, 0.750, 0.994], [0.708, 0.750, 0.577], [0.292, 0.250, 0.423], [0.390, 0.250, 0.006]], "m_tot_mub_per_fu": 0.002, "dos_ef_per_ev_cell": 21.7, "space_group": "No. 11"}


Which one sits at the top of the stability order? *one* does.


*one*
{"formula": "Sm3Y4Er5", "functional": "PBE", "state": "relaxed", "lattice_angstrom": [[-2.371, 4.646, 2.758], [-3.820, -2.462, 7.174], [7.194, 5.783, 2.754]], "species": ["Y", "Y", "Y", "Y", "Sm", "Sm", "Sm", "Er", "Er", "Er", "Er", "Er"], "frac_coords": [[0.169, 0.040, 0.622], [0.831, 0.960, 0.378], [0.141, 0.778, 0.940], [0.859, 0.222, 0.060], [0.524, 0.685, 0.266], [0.000, 0.500, 0.500], [0.476, 0.315, 0.734], [0.786, 0.542, 0.886], [0.624, 0.949, 0.803], [0.214, 0.458, 0.114], [0.500, 0.500, 0.500], [0.376, 0.051, 0.197]], "m_tot_mub_per_fu": 0.322, "dos_ef_per_ev_cell": 19.7, "space_group": "No. 12"}


*two*
{"formula": "Sm3Y4Er5", "functional": "PBE", "state": "relaxed", "lattice_angstrom": [[-6.901, 0.890, -1.568], [-0.401, -7.543, 5.669], [0.283, 12.663, -2.277]], "species": ["Er", "Er", "Er", "Er", "Er", "Sm", "Sm", "Sm", "Y", "Y", "Y", "Y"], "frac_coords": [[0.749, 0.500, 0.001], [0.666, 0.335, 0.167], [0.334, 0.665, 0.833], [0.500, 0.000, 0.500], [0.251, 0.500, 0.999], [0.582, 0.164, 0.333], [0.418, 0.836, 0.667], [0.000, 0.000, 0.500], [0.832, 0.666, 0.833], [0.916, 0.835, 0.667], [0.168, 0.334, 0.167], [0.084, 0.165, 0.333]], "m_tot_mub_per_fu": 0.005, "dos_ef_per_ev_cell": 17.1, "space_group": "No. 2"}


Which one sits at the top of the stability order? *two* does.


*one*
{"formula": "SmY4Er7", "functional": "PBE", "state": "relaxed", "lattice_angstrom": [[6.850, 1.114, 0.249], [4.217, 7.122, 1.738], [-1.804, -0.630, 8.484]], "species": ["Er", "Er", "Er", "Er", "Er", "Er", "Er", "Y", "Y", "Y", "Y", "Sm"], "frac_coords": [[0.057, 0.681, 0.329], [0.943, 0.319, 0.671], [0.287, 0.820, 0.631], [0.500, 0.000, 0.000], [0.713, 0.180, 0.369], [0.729, 0.521, 0.972], [0.271, 0.479, 0.028], [0.421, 0.347, 0.683], [0.794, 0.813, 0.666], [0.206, 0.187, 0.334], [0.579, 0.653, 0.317], [0.000, 0.000, 0.000]], "m_tot_mub_per_fu": 0.000, "dos_ef_per_ev_cell": 20.3, "space_group": "No. 2"}


*two*
{"formula": "SmY4Er7", "functional": "PBE", "state": "relaxed", "lattice_angstrom": [[-4.724, 0.636, 3.365], [1.977, -6.771, 9.114], [0.283, 4.896, 4.531]], "species": ["Er", "Er", "Er", "Er", "Er", "Er", "Er", "Y", "Y", "Y", "Y", "Sm"], "frac_coords": [[0.366, 0.502, 0.767], [0.500, 0.000, 0.000], [0.634, 0.498, 0.233], [0.789, 0.924, 0.498], [0.211, 0.076, 0.502], [0.061, 0.674, 0.205], [0.939, 0.326, 0.795], [0.752, 0.683, 0.813], [0.633, 0.225, 0.510], [0.367, 0.775, 0.490], [0.248, 0.317, 0.187], [0.000, 0.000, 0.000]], "m_tot_mub_per_fu": 0.000, "dos_ef_per_ev_cell": 21.6, "space_group": "No. 12"}


Which one sits at the top of the stability order? *one* does.


*one*
{"formula": "Sm3Y2Er8", "functional": "PBE", "state": "relaxed", "lattice_angstrom": [[5.532, 0.000, 0.784], [0.000, 7.651, 0.000], [-1.416, -3.826, 9.964]], "species": ["Y", "Y", "Sm", "Sm", "Sm", "Er", "Er", "Er", "Er", "Er", "Er", "Er", "Er"], "frac_coords": [[0.499, 0.241, 0.482], [0.501, 0.759, 0.518], [0.000, 0.710, 0.000], [0.500, 0.000, 0.000], [0.000, 0.290, 0.000], [0.500, 0.819, 0.217], [0.999, 0.332, 0.664], [0.500, 0.181, 0.783], [0.500, 0.399, 0.217], [0.500, 0.601, 0.783], [0.001, 0.668, 0.336], [0.000, 0.867, 0.734], [0.000, 0.133, 0.266]], "m_tot_mub_per_fu": 0.000, "dos_ef_per_ev_cell": 23.1, "space_group": "No. 12"}


*two*
{"formula": "Sm3Y2Er8", "functional": "PBE", "state": "relaxed", "lattice_angstrom": [[5.917, 0.779, 1.470], [-0.443, 5.154, 3.317], [-1.417, -2.539, 11.385]], "species": ["Er", "Er", "Er", "Er", "Er", "Er", "Er", "Er", "Sm", "Sm", "Sm", "Y", "Y"], "frac_coords": [[0.308, 0.538, 0.615], [0.846, 0.232, 0.691], [0.076, 0.382, 0.156], [0.615, 0.076, 0.232], [0.154, 0.768, 0.309], [0.692, 0.462, 0.385], [0.385, 0.924, 0.768], [0.924, 0.618, 0.844], [0.538, 0.691, 0.078], [0.462, 0.309, 0.922], [0.000, 0.000, 0.000], [0.769, 0.845, 0.538], [0.231, 0.155, 0.462]], "m_tot_mub_per_fu": 0.000, "dos_ef_per_ev_cell": 19.3, "space_group": "No. 2"}


Which one sits at the top of the stability order? *two* does.